[1]
4
Lattice="3.0734 0.0000 0.0000 0.0000 3.0734 0.0000 0.0000 0.0000 6.2386" Properties=species:S:1:pos:R:3 comment="Li2BeCd PBE optimized geometry" total_magnetization_mub_per_fu=0.0 rho_g_cm3=3.8 e_tot_ev_per_fu=-8.05 spacegroup="P4/mmm (123)" e_above_lowest_polymorph_mev_per_atom=81 pbc="T T T"
Li 0.0000 0.0000 1.3182
Li 0.0000 0.0000 4.9204
Be 1.5367 1.5367 0.0000
Cd 1.5367 1.5367 3.1193

---

[2]
3
Lattice="4.6344 -1.5639 0.0000 4.6344 1.5639 0.0000 -1.0502 0.0000 2.9461" Properties=species:S:1:pos:R:3 comment="LiBeCd PBE optimized geometry" total_magnetization_mub_per_fu=0.0 rho_g_cm3=5.0 e_tot_ev_per_fu=-6.11 spacegroup="Cm (8)" e_above_lowest_polymorph_mev_per_atom=0 pbc="T T T"
Li 0.0000 0.0000 0.0000
Be 5.2783 0.0000 1.8899
Cd 2.5867 0.0000 0.9281

---

Please write out number 1 again, unchanged.
4
Lattice="3.0734 0.0000 0.0000 0.0000 3.0734 0.0000 0.0000 0.0000 6.2386" Properties=species:S:1:pos:R:3 comment="Li2BeCd PBE optimized geometry" total_magnetization_mub_per_fu=0.0 rho_g_cm3=3.8 e_tot_ev_per_fu=-8.05 spacegroup="P4/mmm (123)" e_above_lowest_polymorph_mev_per_atom=81 pbc="T T T"
Li 0.0000 0.0000 1.3182
Li 0.0000 0.0000 4.9204
Be 1.5367 1.5367 0.0000
Cd 1.5367 1.5367 3.1193